## P
First-principles (GGA-PBE) data for a geometry-optimized RbPa2Cl8 structure, as listed in the Alexandria database.

**Density of states at the Fermi level**: 5.31 states/eV/cell

```
data_RbPa2Cl8
_chemical_formula_sum 'Rb1 Pa2 Cl8'
_cell_length_a 7.818
_cell_length_b 8.183
_cell_length_c 8.183
_cell_angle_alpha 54.91
_cell_angle_beta 97.08
_cell_angle_gamma 97.08
_space_group_name_H-M_alt 'P 1'
_space_group_IT_number 1
_space_group_name_Hall 'P 1'
loop_
_atom_site_label
_atom_site_type_symbol
_atom_site_fract_x
_atom_site_fract_y
_atom_site_fract_z
_atom_site_occupancy
Cl1 Cl 0.237 0.834 0.834 1
Cl2 Cl 0.335 0.889 0.371 1
Cl3 Cl 0.755 0.649 0.649 1
Cl4 Cl 0.335 0.371 0.889 1
Cl5 Cl 0.245 0.351 0.351 1
Cl6 Cl 0.665 0.629 0.111 1
Cl7 Cl 0.763 0.166 0.166 1
Cl8 Cl 0.665 0.111 0.629 1
Pa1 Pa 0.499 0.256 0.256 1
Pa2 Pa 0.501 0.744 0.744 1
Rb1 Rb 0.000 0.000 0.000 1
```

## Q
First-principles (GGA-PBE) data for a geometry-optimized RbPa2Cl8 structure, as listed in the Alexandria database.

**Density of states at the Fermi level**: 13.77 states/eV/cell

```
data_RbPa2Cl8
_chemical_formula_sum 'Rb1 Pa2 Cl8'
_cell_length_a 5.398
_cell_length_b 7.349
_cell_length_c 8.840
_cell_angle_alpha 114.56
_cell_angle_beta 107.78
_cell_angle_gamma 90.00
_space_group_name_H-M_alt 'P 1'
_space_group_IT_number 1
_space_group_name_Hall 'P 1'
loop_
_atom_site_label
_atom_site_type_symbol
_atom_site_fract_x
_atom_site_fract_y
_atom_site_fract_z
_atom_site_occupancy
Pa1 Pa 0.342 0.342 0.684 1
Pa2 Pa 0.658 0.658 0.316 1
Cl1 Cl 0.500 0.275 0.000 1
Cl2 Cl 0.542 0.950 0.596 1
Cl3 Cl 0.458 0.354 0.404 1
Cl4 Cl 0.500 0.725 0.000 1
Cl5 Cl 0.054 0.646 0.596 1
Cl6 Cl 0.895 0.395 0.790 1
Cl7 Cl 0.946 0.050 0.404 1
Cl8 Cl 0.105 0.605 0.210 1
Rb1 Rb 0.000 0.000 0.000 1
```

Which of them is the most stable? Correct choice: P.